(1)
The following is a DFT calculation (PBE) of Fe2GeP after structural relaxation.

a = 4.0165 Å, b = 4.0165 Å, c = 4.0165 Å
α = 60.00°, β = 60.00°, γ = 60.00°
Last column: nearest neighbours and their distance in Å.
Atoms (fractional coordinates):
Fe (0.2500, 0.2500, 0.2500)  4 Ge 2.46, 4 P 2.46
Fe (0.7500, 0.7500, 0.7500)  4 Ge 2.46, 4 P 2.46
Ge (0.5000, 0.5000, 0.5000)  8 Fe 2.46
P (0.0000, 0.0000, 0.0000)  8 Fe 2.46

energy of formation from the pure elements = -0.021 eV/atom
space group = Fm-3m, No. 225
D(E_F) = 6.7 states/eV/cell
magnetic moment = 0.73 Bohr magnetons per cell
energy relative to the lowest polymorph listed for this composition = 0.0 kJ/mol of atoms


(2)
The following is a DFT calculation (PBE) of Fe3GeP after structural relaxation.

a = 4.2011 Å, b = 4.2011 Å, c = 4.2011 Å
α = 90.00°, β = 90.00°, γ = 90.00°
Last column: nearest neighbours and their distance in Å.
Atoms (fractional coordinates):
Fe (0.5000, 0.0000, 0.0000)  2 P 2.10
Fe (0.0000, 0.0000, 0.5000)  2 P 2.10
Fe (0.0000, 0.5000, 0.0000)  2 P 2.10
P (0.0000, 0.0000, 0.0000)  6 Fe 2.10
Ge (0.5000, 0.5000, 0.5000)  12 Fe 2.97

energy of formation from the pure elements = 0.273 eV/atom
space group = Pm-3m, No. 221
D(E_F) = 3.8 states/eV/cell
magnetic moment = 6.39 Bohr magnetons per cell
energy relative to the lowest polymorph listed for this composition = 0.0 kJ/mol of atoms


(3)
The following is a DFT calculation (PBE) of FeGeP2S after structural relaxation.

a = 4.1721 Å, b = 4.1721 Å, c = 5.1986 Å
α = 90.00°, β = 90.00°, γ = 90.00°
Last column: nearest neighbours and their distance in Å.
Atoms (fractional coordinates):
Ge (0.5000, 0.5000, 0.5000)  4 S 2.95
P (0.5000, 0.0000, 0.0000)  2 Fe 2.09
P (0.0000, 0.5000, 0.0000)  2 Fe 2.09
S (0.0000, 0.0000, 0.5000)  2 Fe 2.60
Fe (0.0000, 0.0000, 0.0000)  4 P 2.09

E_form (uncorrected) = 0.430 eV per atom
space group = P4/mmm, No. 123
D(E_F) = 3.1 states/eV/cell
magnetic moment = 0.00 Bohr magnetons per cell
energy relative to the lowest polymorph listed for this composition = 0.0 kJ/mol of atoms


(4)
The following is a DFT calculation (PBE) of FeGePS2 after structural relaxation.

a = 4.6315 Å, b = 4.5497 Å, c = 4.6315 Å
α = 90.00°, β = 90.00°, γ = 90.00°
Last column: nearest neighbours and their distance in Å.
Atoms (fractional coordinates):
P (0.5000, 0.5000, 0.5000)  8 S 3.25, 4 Fe 3.27
S (0.5000, 0.0000, 0.0000)  2 Ge 2.32
S (0.0000, 0.0000, 0.5000)  2 Ge 2.32
Fe (0.0000, 0.5000, 0.0000)  2 Ge 2.27
Ge (0.0000, 0.0000, 0.0000)  2 Fe 2.27, 4 S 2.32

E_form (uncorrected) = 1.146 eV per atom
space group = P4/mmm, No. 123
D(E_F) = 6.4 states/eV/cell
magnetic moment = 2.63 Bohr magnetons per cell
energy relative to the lowest polymorph listed for this composition = 69.9 kJ/mol of atoms


(5)
The following is a DFT calculation (PBE) of FeGePS2 after structural relaxation.

a = 4.6714 Å, b = 4.6714 Å, c = 4.2021 Å
α = 90.00°, β = 90.00°, γ = 90.00°
Last column: nearest neighbours and their distance in Å.
Atoms (fractional coordinates):
S (0.0000, 0.5000, 0.0000)  2 Fe 2.34
S (0.5000, 0.0000, 0.0000)  2 Fe 2.34
Fe (0.0000, 0.0000, 0.0000)  2 P 2.10, 4 S 2.34
P (0.0000, 0.0000, 0.5000)  2 Fe 2.10
Ge (0.5000, 0.5000, 0.5000)  8 S 3.14, 4 P 3.30

E_form (uncorrected) = 0.422 eV per atom
space group = P4/mmm, No. 123
D(E_F) = 5.1 states/eV/cell
magnetic moment = 2.03 Bohr magnetons per cell
energy relative to the lowest polymorph listed for this composition = 0.0 kJ/mol of atoms


(6)
The following is a DFT calculation (PBE) of ScFeGe2P after structural relaxation.

a = 4.4140 Å, b = 4.8161 Å, c = 4.4140 Å
α = 90.00°, β = 90.00°, γ = 90.00°
Last column: nearest neighbours and their distance in Å.
Atoms (fractional coordinates):
Sc (0.0000, 0.5000, 0.0000)  2 Fe 2.41
Ge (0.0000, 0.0000, 0.5000)  2 Fe 2.21
Ge (0.5000, 0.0000, 0.0000)  2 Fe 2.21
Fe (0.0000, 0.0000, 0.0000)  4 Ge 2.21, 2 Sc 2.41
P (0.5000, 0.5000, 0.5000)  4 Sc 3.12, 8 Ge 3.27

energy of formation from the pure elements = -0.039 eV/atom
space group = P4/mmm, No. 123
D(E_F) = 0.8 states/eV/cell
magnetic moment = 0.00 Bohr magnetons per cell